No. 1
Below is Mn2ClO after structural relaxation, with properties calculated at the PBE+U level.

Its total energy is -91.15 eV for the cell shown. Its energy above the most stable polymorph in this dataset is 0.662 eV per atom.

The space group is Fm-3m (No. 225) and the conventional cell measures 6.099, 6.099 and 6.099 Å, with angles of 90.00, 90.00 and 90.00 degrees. The asymmetric unit holds Mn at (0.250, 0.250, 0.250), Cl at (0.000, 0.000, 0.000) and O at (0.000, 0.000, 0.500).



No. 2
Below is MnCl2O after structural relaxation, with properties calculated at the PBE+U level.

Its total energy is -46.50 eV for the cell shown.

The space group is R-3m (No. 166, hexagonal axes) and the conventional cell measures 5.2466, 5.2466 and 18.6312 Å, with angles of 90.00, 90.00 and 120.00 degrees. The asymmetric unit holds Mn at (0.0000, 0.0000, 0.0000), Cl at (0.0000, 0.0000, 0.1175) and O at (0.0000, 0.0000, 0.5000).



No. 3
Below is Mn3Cl4O after structural relaxation, with properties calculated at the PBE+U level.

Its total energy is -181.51 eV for the cell shown.

The space group is Cc (No. 9) and the conventional cell measures 12.185, 6.380 and 9.361 Å, with angles of 90.00, 112.93 and 90.00 degrees. The asymmetric unit holds Mn at (0.000, 0.006, 0.000), Mn at (0.191, 0.474, 0.265), Mn at (0.391, 0.056, 0.313), Cl at (0.027, 0.205, 0.262), Cl at (0.123, 0.341, 0.970), Cl at (0.210, 0.161, 0.661), Cl at (0.419, 0.164, 0.057) and O at (0.351, 0.346, 0.361).



No. 4
Below is MnCl2O after structural relaxation, with properties calculated at the PBE+U level.

Its total energy is -66.73 eV for the cell shown.

The space group is I-42d (No. 122) and the conventional cell measures 7.240, 7.240 and 8.451 Å, with angles of 90.00, 90.00 and 90.00 degrees. The asymmetric unit holds Mn at (0.000, 0.000, 0.000), Cl at (0.166, 0.250, 0.125) and O at (0.000, 0.000, 0.500).



No. 5
Below is MnCl2O after structural relaxation, with properties calculated at the PBE+U level.

Its total energy is -65.06 eV for the cell shown.

The space group is Fm-3m (No. 225) and the conventional cell measures 6.462, 6.462 and 6.462 Å, with angles of 90.00, 90.00 and 90.00 degrees. The asymmetric unit holds Mn at (0.000, 0.000, 0.000), Cl at (0.250, 0.250, 0.250) and O at (0.000, 0.000, 0.500).



No. 6
Below is Mn8Cl3O10 after structural relaxation, with properties calculated at the PBE+U level.

Its total energy is -586.57 eV for the cell shown.

The space group is I4/mmm (No. 139) and the conventional cell measures 9.536, 9.536 and 13.121 Å, with angles of 90.00, 90.00 and 90.00 degrees. The asymmetric unit holds Mn at (0.000, 0.000, 0.000), Mn at (0.000, 0.000, 0.500), Mn at (0.000, 0.350, 0.000), Mn at (0.000, 0.500, 0.250), Mn at (0.175, 0.175, 0.176), Cl at (0.000, 0.000, 0.303), Cl at (0.197, 0.197, 0.500), O at (0.000, 0.200, 0.100), O at (0.000, 0.500, 0.098) and O at (0.155, 0.345, 0.250).



No. 7
Below is Mn3Cl2O2 after structural relaxation, with properties calculated at the PBE+U level.

Its total energy is -91.70 eV for the cell shown.

The space group is C2/m (No. 12) and the conventional cell measures 11.006, 3.246 and 6.420 Å, with angles of 90.00, 96.19 and 90.00 degrees. The asymmetric unit holds Mn at (0.000, 0.000, 0.000), Mn at (0.231, 0.000, 0.790), Cl at (0.126, 0.000, 0.379) and O at (0.133, 0.500, 0.928).



No. 8
Below is Mn2Cl3O after structural relaxation, with properties calculated at the PBE+U level.

Its total energy is -131.50 eV for the cell shown.

The space group is C2/m (No. 12) and the conventional cell measures 17.768, 3.451 and 10.032 Å, with angles of 90.00, 112.46 and 90.00 degrees. The asymmetric unit holds Mn at (0.080, 0.000, 0.271), Mn at (0.084, 0.500, 0.973), Cl at (0.079, 0.000, 0.783), Cl at (0.132, 0.500, 0.451), Cl at (0.183, 0.000, 0.135) and O at (0.039, 0.500, 0.133).